# 1
## Lu4AlC3 (PBE-GGA)

Data for an optimized crystal structure of Lu4AlC3.

Cell lengths 3.4680, 3.4680, 27.0802 Å; angles 90.00, 90.00, 120.00 degrees
Each line ends with the local moment (μB).
Fractional positions:
Lu1 0.0000 0.0000 0.3463  0.11
Lu2 0.0000 0.0000 0.6537  0.11
C1 0.3333 0.6667 0.8896  0.02
C2 0.0000 0.0000 0.0000  -0.03
C3 0.6667 0.3333 0.3896  0.02
Lu3 0.0000 0.0000 0.8463  0.11
C4 0.6667 0.3333 0.1104  0.02
C5 0.3333 0.6667 0.6104  0.02
Lu4 0.0000 0.0000 0.1537  0.11
Lu5 0.6667 0.3333 0.9468  0.01
Al1 0.6667 0.3333 0.7500  0.06
Lu6 0.3333 0.6667 0.4468  0.01
Lu7 0.6667 0.3333 0.5532  0.01
Lu8 0.3333 0.6667 0.0532  0.01
C6 0.0000 0.0000 0.5000  -0.03
Al2 0.3333 0.6667 0.2500  0.06

Space-group type: P6_3/mmc
Crystal system: hexagonal
E_tot: -51.43 eV/f.u.

---

# 2
## Zr2ScNi4Ge4 (PBE-GGA)

Data for an optimized crystal structure of Zr2ScNi4Ge4.

Cell lengths 7.5586, 7.5586, 7.5586 Å; angles 149.76, 128.64, 60.77 degrees
Fractional positions:
Ge1 0.2863 0.2863 0.0000
Ge2 0.7137 0.7137 0.0000
Ge3 0.1995 0.0000 0.1995
Ni1 0.5223 0.8233 0.6990
Sc1 0.5000 0.5000 0.0000
Zr1 0.1274 0.6274 0.5000
Ge4 0.8005 0.0000 0.8005
Zr2 0.8726 0.3726 0.5000
Ni2 0.1243 0.8233 0.3010
Ni3 0.4777 0.1767 0.3010
Ni4 0.8757 0.1767 0.6990

Space-group type: Immm
Crystal system: orthorhombic
E_tot: -72.26 eV/f.u.

---

# 3
## InAg15 (PBE-GGA)

Data for an optimized crystal structure of InAg15.

Cell lengths 8.1447, 2.9064, 35.1142 Å; angles 90.00, 90.06, 90.00 degrees
Fractional positions:
Ag1 0.6217 0.2500 0.2226
Ag2 0.6250 0.2500 0.5641
Ag3 0.1252 0.2500 0.3934
Ag4 0.8709 0.7500 0.7781
Ag5 0.3745 0.7500 0.2659
Ag6 0.3751 0.7500 0.3510
Ag7 0.1251 0.2500 0.6490
Ag8 0.3753 0.7500 0.6916
Ag9 0.6249 0.2500 0.6490
Ag10 0.3783 0.7500 0.7774
Ag11 0.3749 0.7500 0.5212
Ag12 0.8748 0.7500 0.6066
In1 0.6229 0.2500 0.8266
Ag13 0.8747 0.7500 0.6916
Ag14 0.1253 0.2500 0.3084
Ag15 0.8750 0.7500 0.4362
In2 0.3771 0.7500 0.1734
Ag16 0.3751 0.7500 0.6064
Ag17 0.1249 0.2500 0.4787
Ag18 0.6249 0.2500 0.3936
Ag19 0.8751 0.7500 0.5213
Ag20 0.6255 0.2500 0.7341
Ag21 0.1258 0.2500 0.8160
Ag22 0.1291 0.2500 0.2219
Ag23 0.6251 0.2500 0.4788
Ag24 0.8742 0.7500 0.1840
Ag25 0.6247 0.2500 0.3084
Ag26 0.8749 0.7500 0.3510
Ag27 0.3750 0.7500 0.4359
Ag28 0.1243 0.2500 0.7335
Ag29 0.1250 0.2500 0.5638
Ag30 0.8757 0.7500 0.2665

Space-group type: P2_1/m
Crystal system: monoclinic
Energy relative to the lowest polymorph listed for this composition: 0.41 eV/f.u.

---

# 4
## TlSbMo4N2 (PBE-GGA)

Data for an optimized crystal structure of TlSbMo4N2.

Cell lengths 3.3112, 3.3112, 12.8841 Å; angles 90.00, 90.00, 120.00 degrees
Fractional positions:
Tl1 0.0000 0.0000 0.0000
Mo1 0.0000 0.0000 0.6664
Mo2 0.6667 0.3333 0.1844
Mo3 0.6667 0.3333 0.8156
Sb1 0.6667 0.3333 0.5000
N1 0.3333 0.6667 0.7478
N2 0.3333 0.6667 0.2522
Mo4 0.0000 0.0000 0.3336

Space-group type: P-6m2
Crystal system: hexagonal
E_tot: -65.78 eV/f.u.

---

# 5
## PuZn (PBE-GGA)

Data for an optimized crystal structure of PuZn.

Cell lengths 5.3135, 6.3546, 4.9463 Å; angles 90.00, 90.00, 90.00 degrees
Each line ends with the local moment (μB).
Fractional positions:
Zn1 0.3501 0.4927 0.5000  0.02
Zn2 0.9832 0.9927 0.0000  0.02
Pu1 0.9960 0.4964 0.0000  5.60
Zn3 0.4832 0.2573 0.0000  0.02
Zn4 0.8501 0.7573 0.5000  0.02
Pu2 0.4960 0.7536 0.0000  5.62
Pu3 0.8373 0.2536 0.5000  5.61
Pu4 0.3373 0.9964 0.5000  5.62

Space-group type: Pnma
Crystal system: orthorhombic
DFT formation energy: -109 meV per atom

---

# 6
## SrAs2Pt2 (PBE-GGA)

Data for an optimized crystal structure of SrAs2Pt2.

Cell lengths 10.0159, 4.5176, 8.9542 Å; angles 90.00, 90.67, 90.00 degrees
Fractional positions:
As1 0.6277 0.6983 0.1113
Pt1 0.8782 0.7468 0.1263
Sr1 0.2469 0.7404 0.1268
Pt2 0.5006 0.6737 0.3582
Pt3 0.4994 0.1737 0.1418
As2 0.9996 0.2546 0.6233
Sr2 0.7531 0.2596 0.8732
Sr3 0.2469 0.7596 0.6268
As3 0.9996 0.2454 0.1233
Pt4 0.5006 0.8263 0.8582
Pt5 0.1218 0.2532 0.8737
Sr4 0.7531 0.2404 0.3732
Pt6 0.8782 0.7532 0.6263
As4 0.0004 0.7454 0.3767
As5 0.0004 0.7546 0.8767
As6 0.3723 0.1983 0.3887
Pt7 0.1218 0.2468 0.3737
Pt8 0.4994 0.3263 0.6418
As7 0.3723 0.3017 0.8887
As8 0.6277 0.8017 0.6113

Space-group type: P2_1/c
Crystal system: monoclinic
E_tot: -27.01 eV/f.u.

---

# 7
## LiLaFeW (PBE-GGA)

Data for an optimized crystal structure of LiLaFeW.

Cell lengths 4.6435, 4.6435, 4.6435 Å; angles 60.00, 60.00, 60.00 degrees
Fractional positions:
Li1 0.7500 0.7500 0.7500
La1 0.5000 0.5000 0.5000
W1 0.0000 0.0000 0.0000
Fe1 0.2500 0.2500 0.2500

Space-group type: F-43m
Crystal system: cubic
Energy relative to the lowest polymorph listed for this composition: 0.05 eV/f.u.

---

# 8
## ErIrPt (PBE-GGA)

Data for an optimized crystal structure of ErIrPt.

Cell lengths 4.4983, 4.4983, 4.4983 Å; angles 60.00, 60.00, 60.00 degrees
Fractional positions:
Pt1 0.0000 0.0000 0.0000
Er1 0.2500 0.2500 0.2500
Ir1 0.7500 0.7500 0.7500

Space-group type: F-43m
Crystal system: cubic
DFT formation energy: -339 meV per atom
Energy relative to the lowest polymorph listed for this composition: 0.00 eV/f.u.

---

# 9
## Ho3UN4 (PBE-GGA)

Data for an optimized crystal structure of Ho3UN4.

Cell lengths 5.9190, 5.9190, 3.4258 Å; angles 90.00, 90.00, 108.98 degrees
Each line ends with the local moment (μB).
Fractional positions:
N1 0.7581 0.7581 0.5000  -0.04
N2 0.2419 0.2419 0.5000  -0.04
Ho1 0.5000 0.5000 0.0000  0.07
N3 0.2386 0.7614 0.0000  -0.02
Ho2 0.5000 0.0000 0.5000  0.02
Ho3 0.0000 0.5000 0.5000  0.03
U1 0.0000 0.0000 0.0000  1.17
N4 0.7614 0.2386 0.0000  -0.02

Space-group type: Cmmm
Crystal system: orthorhombic
E_tot: -71.47 eV/f.u.

---

# 10
## Sm2P (PBE-GGA)

Data for an optimized crystal structure of Sm2P.

Cell lengths 6.0583, 6.0583, 6.0583 Å; angles 60.00, 60.00, 60.00 degrees
Fractional positions:
Sm1 0.6250 0.6250 0.1250
P1 0.2500 0.2500 0.2500
Sm2 0.6250 0.1250 0.6250
Sm3 0.6250 0.6250 0.6250
P2 0.0000 0.0000 0.0000
Sm4 0.1250 0.6250 0.6250

Space-group type: Fd-3m
Crystal system: cubic
E_tot: -13.96 eV/f.u.

---

# 11
## TaInFeNi (PBE-GGA)

Data for an optimized crystal structure of TaInFeNi.

Cell lengths 4.4417, 4.4417, 4.4417 Å; angles 60.00, 60.00, 60.00 degrees
Fractional positions:
Fe1 0.7500 0.7500 0.7500
Ta1 0.2500 0.2500 0.2500
Ni1 0.5000 0.5000 0.5000
In1 0.0000 0.0000 0.0000

Space-group type: F-43m
Crystal system: cubic
Energy relative to the lowest polymorph listed for this composition: 1.50 eV/f.u.

---

# 12
## LiHfGeAu (PBE-GGA)

Data for an optimized crystal structure of LiHfGeAu.

Cell lengths 4.5673, 4.5673, 4.5673 Å; angles 60.00, 60.00, 60.00 degrees
Fractional positions:
Ge1 0.2500 0.2500 0.2500
Au1 0.0000 0.0000 0.0000
Li1 0.7500 0.7500 0.7500
Hf1 0.5000 0.5000 0.5000

Space-group type: F-43m
Crystal system: cubic
Energy relative to the lowest polymorph listed for this composition: 1.27 eV/f.u.

---

# 13
## Cs2KHgF6 (PBE-GGA)

Data for an optimized crystal structure of Cs2KHgF6.

Cell lengths 6.5282, 6.4457, 11.2916 Å; angles 90.00, 125.24, 90.00 degrees
Fractional positions:
F1 0.2793 0.5005 0.2357
K1 0.5000 0.0000 0.0000
Cs1 0.7511 0.5170 0.2497
K2 0.5000 0.5000 0.5000
F2 0.1824 0.2335 0.9786
Cs2 0.2489 0.0170 0.2503
F3 0.2401 0.7064 0.9762
F4 0.8176 0.7665 0.0214
F5 0.7599 0.2936 0.0238
F6 0.7207 0.0005 0.2643
F7 0.7599 0.2064 0.5238
Hg1 0.0000 0.5000 0.0000
F8 0.2401 0.7936 0.4762
F9 0.7207 0.4995 0.7643
F10 0.1824 0.2665 0.4786
Hg2 0.0000 0.0000 0.5000
Cs3 0.7511 0.9830 0.7497
Cs4 0.2489 0.4830 0.7503
F11 0.2793 0.9995 0.7357
F12 0.8176 0.7335 0.5214

Space-group type: P2_1/c
Crystal system: monoclinic
Energy relative to the lowest polymorph listed for this composition: 0.00 eV/f.u.

---

# 14
## LiZnFeAu (PBE-GGA)

Data for an optimized crystal structure of LiZnFeAu.

Cell lengths 4.3026, 4.3026, 4.3026 Å; angles 60.00, 60.00, 60.00 degrees
Fractional positions:
Li1 0.5000 0.5000 0.5000
Au1 0.2500 0.2500 0.2500
Fe1 0.7500 0.7500 0.7500
Zn1 0.0000 0.0000 0.0000

Space-group type: F-43m
Crystal system: cubic
Energy relative to the lowest polymorph listed for this composition: 0.26 eV/f.u.

---

# 15
## NbTl3S4 (PBE-GGA)

Data for an optimized crystal structure of NbTl3S4.

Cell lengths 6.4750, 6.6982, 11.9006 Å; angles 93.97, 96.79, 107.45 degrees
Fractional positions:
S1 0.8172 0.9264 0.7281
Tl1 0.5385 0.4841 0.5003
Tl2 0.9912 0.0016 0.4778
Nb1 0.8299 0.2720 0.7380
Tl3 0.3072 0.8020 0.7686
S2 0.5266 0.0496 0.0652
S3 0.4761 0.2761 0.7251
S4 0.0622 0.2173 0.2551
Tl4 0.9684 0.0194 0.0036
S5 0.0133 0.4455 0.9131
Tl5 0.2314 0.6912 0.2087
Nb2 0.7082 0.2218 0.2412
S6 0.5477 0.0500 0.3852
S7 0.7201 0.5677 0.2516
S8 0.9872 0.4413 0.5930
Tl6 0.5726 0.4770 0.9754

Space-group type: P1
Crystal system: triclinic
E_tot: -38.95 eV/f.u.

---

# 16
## TbHoTlTe3 (PBE-GGA)

Data for an optimized crystal structure of TbHoTlTe3.

Cell lengths 9.7425, 9.7425, 10.0930 Å; angles 102.96, 102.96, 25.86 degrees
Fractional positions:
Ho1 0.4985 0.4985 0.7910
Tl1 0.1440 0.1440 0.5518
Te1 0.3343 0.3343 0.7107
Tb1 0.1695 0.1695 0.0736
Te2 0.3349 0.3349 0.1512
Tb2 0.8305 0.8305 0.9264
Tl2 0.8560 0.8560 0.4482
Te3 0.5000 0.5000 0.5000
Te4 0.0000 0.0000 0.0000
Ho2 0.5015 0.5015 0.2090
Te5 0.6651 0.6651 0.8488
Te6 0.6657 0.6657 0.2893

Space-group type: C2/m
Crystal system: monoclinic
Energy relative to the lowest polymorph listed for this composition: 0.00 eV/f.u.

---

# 17
## AgPbIF2 (PBE-GGA)

Data for an optimized crystal structure of AgPbIF2.

Cell lengths 6.8684, 6.8684, 5.6606 Å; angles 90.00, 90.00, 130.95 degrees
Fractional positions:
Ag1 0.1274 0.8726 0.7500
F1 0.2514 0.2514 0.5000
Pb1 0.3987 0.6013 0.7500
I1 0.2450 0.7550 0.2500
F2 0.2514 0.2514 0.0000
Ag2 0.8726 0.1274 0.2500
I2 0.7550 0.2450 0.7500
Pb2 0.6013 0.3987 0.2500
F3 0.7486 0.7486 0.5000
F4 0.7486 0.7486 0.0000

Space-group type: Cmcm
Crystal system: orthorhombic
E_tot: -18.46 eV/f.u.

---

# 18
## PuRePb (PBE-GGA)

Data for an optimized crystal structure of PuRePb.

Cell lengths 4.7800, 4.7800, 4.7800 Å; angles 60.00, 60.00, 60.00 degrees
Each line ends with the local moment (μB).
Fractional positions:
Pu1 0.2500 0.2500 0.2500  -0.20
Pb1 0.0000 0.0000 0.0000  0.01
Re1 0.7500 0.7500 0.7500  0.01

Space-group type: F-43m
Crystal system: cubic
Energy relative to the lowest polymorph listed for this composition: 0.29 eV/f.u.

---

# 19
## Fe3BiB2 (PBE-GGA)

Data for an optimized crystal structure of Fe3BiB2.

Cell lengths 3.4541, 3.4541, 6.0471 Å; angles 90.00, 90.00, 90.00 degrees
Each line ends with the local moment (μB).
Fractional positions:
Bi1 0.0000 0.0000 0.0000  -0.02
Fe1 0.0000 0.5000 0.3803  1.82
Fe2 0.5000 0.5000 0.0000  -0.26
Fe3 0.5000 0.0000 0.6197  1.81
B1 0.0000 0.5000 0.6942  -0.08
B2 0.5000 0.0000 0.3058  -0.09

Space-group type: P-4m2
Crystal system: tetragonal
E_tot: -37.46 eV/f.u.

---

# 20
## TmTlBiSe3 (PBE-GGA)

Data for an optimized crystal structure of TmTlBiSe3.

Cell lengths 9.1560, 9.1560, 10.2619 Å; angles 102.72, 102.72, 25.62 degrees
Fractional positions:
Bi1 0.5121 0.5121 0.7252
Se1 0.5000 0.5000 0.0000
Bi2 0.4879 0.4879 0.2748
Tl1 0.8617 0.8617 0.9331
Tl2 0.1383 0.1383 0.0669
Tm1 0.1723 0.1723 0.5793
Tm2 0.8277 0.8277 0.4207
Se2 0.6680 0.6680 0.3830
Se3 0.0000 0.0000 0.5000
Se4 0.3272 0.3272 0.2257
Se5 0.3320 0.3320 0.6170
Se6 0.6728 0.6728 0.7743

Space-group type: C2/m
Crystal system: monoclinic
Energy relative to the lowest polymorph listed for this composition: 0.00 eV/f.u.